[1]
Density functional theory data (GGA-PBE) for a geometry-optimized Sm4DyTh2 structure.

Cell lengths 3.6103, 3.6103, 61.5276 Å; angles 90.00, 90.00, 120.00 degrees
Closest atoms and distances in Å follow each position.
Space group R-3m (No. 166, hexagonal axes)
Asymmetric unit:
Sm 0.0000 0.0000 0.1413  3 Th 3.53, 9 Sm 3.61-3.75
Sm 0.0000 0.0000 0.2852  3 Th 3.56, 6 Sm 3.61, 3 Dy 3.62
Dy 0.0000 0.0000 0.0000  6 Dy 3.61, 6 Sm 3.62
Th 0.0000 0.0000 0.4284  6 Sm 3.53-3.56, 6 Th 3.61

Properties
For the total magnetic moment, the calculation gives 0.000 μB per atom. The calculation puts the total energy at -5.4430 eV/atom. The calculation puts the formation enthalpy at 0 K at 3.0 kJ per mole of atoms. As for the energy above the most stable polymorph in this dataset: 0.0 meV per atom.

---

[2]
Density functional theory data (GGA-PBE) for a geometry-optimized K2NiAs structure.

Cell lengths 4.3008, 4.3008, 10.2117 Å; angles 90.00, 90.00, 90.00 degrees
Closest atoms and distances in Å follow each position.
Space group I4/mmm (No. 139)
Asymmetric unit:
K 0.0000 0.5000 0.2500  4 K 3.04, 4 As 3.34, 4 Ni 3.34
Ni 0.0000 0.0000 0.0000  4 As 3.04, 8 K 3.34
As 0.0000 0.0000 0.5000  4 Ni 3.04, 8 K 3.34

Properties
For the total magnetic moment, the calculation gives 0.002 μB per atom. The calculation puts the total energy at -2.7842 eV/atom. The calculation puts the formation enthalpy at 0 K at 35.9 kJ per mole of atoms.

---

[3]
Density functional theory data (GGA-PBE) for a geometry-optimized SrV2Ru2 structure.

Cell lengths 7.7562, 7.7562, 2.8749 Å; angles 90.00, 90.00, 90.00 degrees
Closest atoms and distances in Å follow each position.
Space group P4/mbm (No. 127)
Asymmetric unit:
Sr 0.0000 0.0000 0.0000  2 Sr 2.87, 4 Ru 2.99
V 0.1348 0.3652 0.5000  6 Ru 2.59-2.84, 2 V 2.87
Ru 0.1423 0.6423 0.0000  6 V 2.59-2.84, 2 Ru 2.87

Properties
For the total magnetic moment, the calculation gives 0.237 μB per atom. The calculation puts the total energy at -7.4622 eV/atom. The calculation puts the formation enthalpy at 0 K at 22.4 kJ per mole of atoms. As for the energy above the most stable polymorph in this dataset: 221.7 meV per atom.

---

[4]
Density functional theory data (GGA-PBE) for a geometry-optimized Pm3HgBr3 structure.

Cell lengths 12.1610, 12.1610, 12.1610 Å; angles 90.00, 90.00, 90.00 degrees
Closest atoms and distances in Å follow each position.
Space group I4_132 (No. 214)
Asymmetric unit:
Pm 0.1205 0.3705 0.1250  2 Hg 2.99, 4 Br 3.10
Hg 0.1250 0.1250 0.1250  6 Pm 2.99
Br 0.1202 0.1298 0.6250  4 Pm 3.10

Properties
Its formation energy from raw total energies is -115 kJ per mole of atoms. For the total magnetic moment, the calculation gives 0.000 μB per atom. The calculation puts the total energy at -3.9888 eV/atom.

---

What is the total magnetic moment in the first record?
0.000 μB per atom